*1*
PBE CeHfSc3, optimized geometry; crystal system = orthorhombic; space-group type = Pnma, No. 62
1.0
9.364 0.000 0.000
0.000 3.232 0.000
0.000 0.000 16.180
Ce Hf Sc
4 4 12
direct
0.129 0.250 0.149
0.371 0.750 0.649
0.629 0.250 0.351
0.871 0.750 0.851
0.116 0.250 0.548
0.384 0.750 0.048
0.616 0.250 0.952
0.884 0.750 0.452
0.119 0.250 0.354
0.121 0.250 0.750
0.131 0.250 0.954
0.369 0.750 0.454
0.379 0.750 0.250
0.381 0.750 0.854
0.619 0.250 0.146
0.621 0.250 0.750
0.631 0.250 0.546
0.869 0.750 0.046
0.879 0.750 0.250
0.881 0.750 0.646

=====

*2*
PBE CeHfSc3, optimized geometry; crystal system = monoclinic; space-group type = P2_1/m, No. 11
1.0
7.898 0.000 0.000
0.000 3.195 0.000
-3.260 0.000 9.810
Ce Hf Sc
2 2 6
direct
0.187 0.250 0.026
0.813 0.750 0.974
0.180 0.250 0.562
0.820 0.750 0.438
0.008 0.250 0.261
0.388 0.750 0.364
0.406 0.750 0.835
0.594 0.250 0.165
0.612 0.250 0.636
0.992 0.750 0.739

=====

Decreasing stability: *1*, *2*

=====

*1*
PBE CeHf2Sc, optimized geometry; crystal system = trigonal; space-group type = R-3m, No. 166
1.0
1.610 0.930 10.669
-1.610 0.930 10.669
0.000 -1.859 10.669
Ce Hf Sc
1 2 1
direct
0.000 0.000 0.000
0.248 0.248 0.248
0.752 0.752 0.752
0.500 0.500 0.500

=====

*2*
PBE CeHf2Sc, optimized geometry; crystal system = tetragonal; space-group type = P4/mmm, No. 123
1.0
3.813 0.000 0.000
0.000 3.813 0.000
0.000 0.000 6.564
Ce Hf Sc
1 2 1
direct
0.000 0.000 0.000
0.500 0.500 0.237
0.500 0.500 0.763
0.000 0.000 0.500

=====

*3*
PBE CeHf2Sc, optimized geometry; crystal system = trigonal; space-group type = R3m, No. 160
1.0
1.629 0.940 10.465
-1.629 0.940 10.465
0.000 -1.881 10.465
Ce Hf Sc
1 2 1
direct
0.000 0.000 0.000
0.418 0.418 0.418
0.580 0.580 0.580
0.166 0.166 0.166

=====

Decreasing stability: *3*, *1*, *2*

=====

*1*
PBE CeHfSe3, optimized geometry; crystal system = orthorhombic; space-group type = Pnma, No. 62
1.0
8.620 0.000 0.000
0.000 3.929 0.000
0.000 0.000 14.085
Ce Hf Se
4 4 12
direct
0.086 0.250 0.175
0.414 0.750 0.675
0.586 0.250 0.325
0.914 0.750 0.825
0.158 0.750 0.450
0.342 0.250 0.950
0.658 0.750 0.050
0.842 0.250 0.550
0.027 0.750 0.619
0.155 0.750 0.014
0.191 0.250 0.786
0.309 0.750 0.286
0.345 0.250 0.514
0.473 0.250 0.119
0.527 0.750 0.881
0.655 0.750 0.486
0.691 0.250 0.714
0.809 0.750 0.214
0.845 0.250 0.986
0.973 0.250 0.381

=====

*2*
PBE CeHfSe3, optimized geometry; crystal system = monoclinic; space-group type = C2/m, No. 12
1.0
6.716 -1.914 0.000
6.716 1.914 0.000
-3.015 0.000 10.066
Ce Hf Se
2 2 6
direct
0.039 0.039 0.351
0.961 0.961 0.649
0.255 0.255 0.158
0.745 0.745 0.842
0.125 0.125 0.910
0.363 0.363 0.782
0.377 0.377 0.410
0.623 0.623 0.590
0.637 0.637 0.218
0.875 0.875 0.090

=====

Decreasing stability: *1*, *2*